1.
{"formula": "Pr6HoTm4", "functional": "PBE", "state": "relaxed", "lattice_angstrom": [[0.8470, -5.9570, 3.2285], [6.7670, 0.9080, -0.1000], [-4.2171, 6.3754, 5.6487]], "species": ["Tm", "Tm", "Tm", "Pr", "Pr", "Pr", "Tm", "Ho", "Pr", "Pr", "Pr"], "frac_coords": [[0.2868, 0.9385, 0.2252], [0.9385, 0.2868, 0.2252], [0.0615, 0.0615, 0.7748], [0.5140, 0.1287, 0.6427], [0.5000, 0.0000, 0.0000], [0.4860, 0.4860, 0.3573], [0.7132, 0.7132, 0.7748], [0.5000, 0.5000, 0.0000], [0.8713, 0.8713, 0.3573], [0.0000, 0.5000, 0.0000], [0.1287, 0.5140, 0.6427]], "ef_mev_per_atom": 298}

2.
{"formula": "K3BaIr", "functional": "PBE", "state": "relaxed", "lattice_angstrom": [[6.3070, 0.0000, 0.0000], [0.0000, 6.3070, 0.0000], [0.0000, 0.0000, 6.3070]], "species": ["Ba", "K", "K", "Ir", "K"], "frac_coords": [[0.5000, 0.5000, 0.5000], [0.5000, 0.0000, 0.0000], [0.0000, 0.0000, 0.5000], [0.0000, 0.0000, 0.0000], [0.0000, 0.5000, 0.0000]], "ef_mev_per_atom": 719}

3.
{"formula": "Ho3Co4Ni2", "functional": "PBE", "state": "relaxed", "lattice_angstrom": [[-2.3731, 1.1500, -2.8777], [-1.3055, -2.4484, 2.7453], [-6.8839, 18.1819, 12.9425]], "species": ["Ho", "Co", "Co", "Ho", "Co", "Co", "Ni", "Co", "Ho", "Ni", "Co", "Co", "Ni", "Ho", "Ho", "Ho", "Co", "Ni"], "frac_coords": [[0.3333, 0.6667, 0.2498], [0.6667, 0.3333, 0.8337], [0.0000, 0.0000, 0.6666], [0.3333, 0.6667, 0.4159], [0.0000, 0.0000, 0.0008], [0.6667, 0.3333, 0.0006], [0.0000, 0.0000, 0.4995], [0.0000, 0.0000, 0.3327], [0.3333, 0.6667, 0.7499], [0.0000, 0.0000, 0.8337], [0.6667, 0.3333, 0.6666], [0.6667, 0.3333, 0.3328], [0.0000, 0.0000, 0.1668], [0.3333, 0.6667, 0.5833], [0.3333, 0.6667, 0.0837], [0.3333, 0.6667, 0.9174], [0.6667, 0.3333, 0.4995], [0.6667, 0.3333, 0.1668]], "ef_mev_per_atom": -331}

4.
{"formula": "Pm2CoGe5", "functional": "PBE", "state": "relaxed", "lattice_angstrom": [[6.0775, -0.0001, -0.0002], [0.0001, 6.0775, -0.0002], [-3.0386, -3.0386, 4.5013]], "species": ["Ge", "Pm", "Co", "Ge", "Ge", "Ge", "Pm", "Ge"], "frac_coords": [[0.2855, 0.7323, 0.0178], [0.7684, 0.2685, 0.5369], [0.9812, 0.9812, 0.9624], [0.7323, 0.7323, 0.0178], [0.2855, 0.2855, 0.0178], [0.7323, 0.2856, 0.0178], [0.2685, 0.7685, 0.5369], [0.7232, 0.7232, 0.4465]], "ef_mev_per_atom": -403}

5.
{"formula": "LiCaRh2", "functional": "PBE", "state": "relaxed", "lattice_angstrom": [[5.0052, -0.0264, 0.0000], [-1.9618, 4.6048, 0.0000], [0.0000, 0.0000, 2.9183]], "species": ["Rh", "Li", "Ca", "Rh"], "frac_coords": [[0.5000, 0.5000, 0.0000], [0.0000, 0.5000, 0.5000], [0.5000, 0.0000, 0.5000], [0.0000, 0.0000, 0.0000]], "ef_mev_per_atom": -22}

6.
{"formula": "SiSb", "functional": "PBE", "state": "relaxed", "lattice_angstrom": [[-1.9411, -1.4452, 2.0834], [1.6944, -2.4734, -1.0992], [5.9306, 1.2285, 6.3778]], "species": ["Si", "Sb", "Sb", "Si"], "frac_coords": [[0.5000, 0.5000, 0.2958], [0.5000, 0.5000, 0.6968], [0.0000, 0.0000, 0.0532], [0.0000, 0.0000, 0.4542]], "formation_energy_uncorrected_ev_per_atom": 0.440}